Below is crystalline Ni2OsRh at its relaxed geometry, with properties calculated at the PBEsol level.

Calculated values
The calculation puts the total magnetization at 0.00 μB/f.u. The formation energy comes out at 0.061 eV/atom. The space group is Pmm2. As for the electronic total energy: -8.106 eV/atom.

Cell: 2.627 3.660 5.058 Å, 90.00 90.00 90.00°
Fractional positions:
Ni1 0.000 0.000 0.000
Ni2 0.500 0.500 0.235
Os1 0.000 0.000 0.484
Rh1 0.500 0.500 0.738



Below is crystalline La3RuC at its relaxed geometry, with properties calculated at the PBEsol level.

Calculated values
The calculation puts the total magnetization at 0.00 μB/f.u. The formation energy comes out at 0.922 eV/atom. The space group is Pm-3m. As for the electronic total energy: -6.249 eV/atom.

Cell: 5.255 5.255 5.255 Å, 90.00 90.00 90.00°
Fractional positions:
La1 0.000 0.000 0.500
La2 0.000 0.500 0.000
La3 0.500 0.000 0.000
Ru1 0.000 0.000 0.000
C1 0.500 0.500 0.500



Below is crystalline Zr2OsRu at its relaxed geometry, with properties calculated at the PBEsol level.

Calculated values
The calculation puts the total magnetization at 0.00 μB/f.u. The formation energy comes out at -0.105 eV/atom. The space group is F-43m. As for the electronic total energy: -10.247 eV/atom.

Cell: 4.540 4.540 4.540 Å, 60.00 60.00 60.00°
Fractional positions:
Zr1 0.000 0.000 0.000
Zr2 0.250 0.250 0.250
Os1 0.750 0.750 0.750
Ru1 0.500 0.500 0.500



Below is crystalline Be2Ru at its relaxed geometry, with properties calculated at the PBEsol level.

Calculated values
The calculation puts the total magnetization at 0.00 μB/f.u. The formation energy comes out at 0.110 eV/atom. The space group is Cmcm. As for the electronic total energy: -5.948 eV/atom.

Cell: 6.218 6.218 4.019 Å, 90.00 90.00 155.54°
Fractional positions:
Be1 0.060 0.940 0.750
Be2 0.394 0.606 0.750
Be3 0.606 0.394 0.250
Be4 0.940 0.060 0.250
Ru1 0.284 0.716 0.250
Ru2 0.716 0.284 0.750



Below is crystalline Li3ZnSe at its relaxed geometry, with properties calculated at the PBEsol level.

Calculated values
The calculation puts the total magnetization at 0.00 μB/f.u. As for the formation energy from raw total energies: -0.4416 eV/atom. The space group is Pm-3m. As for the electronic total energy: -2.708 eV/atom.

Cell: 4.770 4.770 4.770 Å, 90.00 90.00 90.00°
Fractional positions:
Li1 0.000 0.000 0.500
Li2 0.000 0.500 0.000
Li3 0.500 0.000 0.000
Zn1 0.500 0.500 0.500
Se1 0.000 0.000 0.000



Below is crystalline Li13Nb14ZnO42 at its relaxed geometry, with properties calculated at the PBEsol level.

Calculated values
The calculation puts the total magnetization at 0.00 μB/f.u. As for the formation energy from raw total energies: -2.4498 eV/atom. The space group is P1. As for the electronic total energy: -8.152 eV/atom.

Cell: 8.947 9.152 9.759 Å, 103.60 98.75 99.38°
Fractional positions:
Li1 0.000 0.000 0.000
Li2 0.069 0.786 0.646
Li3 0.146 0.570 0.288
Li4 0.215 0.354 0.934
Li5 0.286 0.146 0.573
Li6 0.359 0.927 0.216
Li7 0.431 0.712 0.860
Li8 0.571 0.284 0.146
Li9 0.644 0.070 0.788
Li10 0.714 0.853 0.432
Li11 0.785 0.640 0.072
Li12 0.854 0.427 0.717
Li13 0.927 0.213 0.357
Nb1 0.038 0.878 0.366
Nb2 0.114 0.665 0.013
Nb3 0.180 0.450 0.658
Nb4 0.250 0.231 0.292
Nb5 0.326 0.019 0.937
Nb6 0.394 0.809 0.584
Nb7 0.470 0.593 0.223
Nb8 0.540 0.376 0.865
Nb9 0.610 0.156 0.507
Nb10 0.683 0.950 0.151
Nb11 0.760 0.736 0.798
Nb12 0.833 0.519 0.438
Nb13 0.896 0.306 0.079
Nb14 0.969 0.093 0.723
Zn1 0.501 0.496 0.507
O1 0.011 0.222 0.939
O2 0.079 0.509 0.831
O3 0.091 0.337 0.246
O4 0.100 0.092 0.374
O5 0.127 0.975 0.815
O6 0.137 0.231 0.692
O7 0.153 0.797 0.225
O8 0.221 0.079 0.116
O9 0.235 0.910 0.531
O10 0.241 0.661 0.656
O11 0.269 0.547 0.102
O12 0.281 0.803 0.979
O13 0.299 0.368 0.513
O14 0.367 0.649 0.405
O15 0.377 0.479 0.817
O16 0.386 0.232 0.945
O17 0.412 0.118 0.387
O18 0.423 0.374 0.268
O19 0.441 0.936 0.796
O20 0.507 0.222 0.688
O21 0.520 0.050 0.104
O22 0.529 0.805 0.231
O23 0.555 0.685 0.672
O24 0.567 0.945 0.550
O25 0.582 0.508 0.083
O26 0.649 0.793 0.974
O27 0.662 0.618 0.390
O28 0.667 0.375 0.517
O29 0.698 0.260 0.957
O30 0.708 0.517 0.837
O31 0.726 0.081 0.368
O32 0.793 0.364 0.259
O33 0.806 0.194 0.674
O34 0.813 0.947 0.801
O35 0.840 0.832 0.244
O36 0.853 0.088 0.122
O37 0.866 0.651 0.653
O38 0.937 0.935 0.546
O39 0.949 0.764 0.959
O40 0.956 0.518 0.086
O41 0.981 0.402 0.529
O42 0.996 0.660 0.407



Below is crystalline Ca2MnOs at its relaxed geometry, with properties calculated at the PBEsol level.

Calculated values
The calculation puts the total magnetization at 4.08 μB/f.u. The formation energy comes out at 0.730 eV/atom. The space group is P4/mmm. As for the electronic total energy: -5.831 eV/atom.

Cell: 4.251 4.251 4.352 Å, 90.00 90.00 90.00°
Fractional positions:
Ca1 0.000 0.500 0.000
Ca2 0.500 0.000 0.000
Mn1 0.000 0.000 0.500
Os1 0.500 0.500 0.500



Below is crystalline AlTeP2O at its relaxed geometry, with properties calculated at the PBEsol level.

Calculated values
The calculation puts the total magnetization at 0.00 μB/f.u. As for the formation energy from raw total energies: 0.4985 eV/atom. The space group is P4/mmm. As for the electronic total energy: -4.391 eV/atom.

Cell: 5.022 5.022 3.890 Å, 90.00 90.00 90.00°
Fractional positions:
Al1 0.000 0.000 0.000
Te1 0.500 0.500 0.500
P1 0.000 0.500 0.500
P2 0.500 0.000 0.500
O1 0.500 0.500 0.000



Below is crystalline LaRuC2 at its relaxed geometry, with properties calculated at the PBEsol level.

Calculated values
The calculation puts the total magnetization at 0.00 μB/f.u. The formation energy comes out at -0.166 eV/atom. The space group is Amm2. As for the electronic total energy: -8.868 eV/atom.

Cell: 4.032 3.901 3.901 Å, 74.64 90.00 90.00°
Fractional positions:
La1 0.000 0.000 0.000
Ru1 0.500 0.615 0.615
C1 0.500 0.146 0.441
C2 0.500 0.441 0.146



Below is crystalline LaGaNO2 at its relaxed geometry, with properties calculated at the PBEsol level.

Calculated values
The calculation puts the total magnetization at 0.98 μB/f.u. As for the formation energy from raw total energies: -1.7265 eV/atom. The space group is P4/mmm. As for the electronic total energy: -7.269 eV/atom.

Cell: 3.911 3.911 3.870 Å, 90.00 90.00 90.00°
Fractional positions:
La1 0.000 0.000 0.000
Ga1 0.500 0.500 0.500
N1 0.500 0.500 0.000
O1 0.000 0.500 0.500
O2 0.500 0.000 0.500



Below is crystalline LiTiBr2 at its relaxed geometry, with properties calculated at the PBEsol level.

Calculated values
The calculation puts the total magnetization at 3.00 μB/f.u. As for the formation energy from raw total energies: -0.6269 eV/atom. The space group is I-42d. As for the electronic total energy: -4.134 eV/atom.

Cell: 6.848 6.848 6.848 Å, 126.80 126.80 78.58°
Fractional positions:
Li1 0.000 0.000 0.000
Li2 0.750 0.250 0.500
Ti1 0.250 0.750 0.500
Ti2 0.500 0.500 0.000
Br1 0.106 0.625 0.981
Br2 0.375 0.356 0.481
Br3 0.644 0.125 0.019
Br4 0.875 0.894 0.519



Below is crystalline Cs2Au2Cl at its relaxed geometry, with properties calculated at the PBEsol level.

Calculated values
The calculation puts the total magnetization at 0.00 μB/f.u. As for the formation energy from raw total energies: -0.4745 eV/atom. The space group is I4/mmm. As for the electronic total energy: -2.823 eV/atom.

Cell: 6.207 6.207 6.207 Å, 115.64 115.64 97.74°
Fractional positions:
Cs1 0.250 0.750 0.500
Cs2 0.750 0.250 0.500
Au1 0.161 0.161 0.000
Au2 0.839 0.839 0.000
Cl1 0.500 0.500 0.000